1.
The following is a PBE calculation of a relaxed Ac2ThBi3 crystal, from Alexandria via LeMat-Bulk.

Structure (CIF):
```
data_Ac2ThBi3
_chemical_formula_sum 'Ac8 Th4 Bi12'
_space_group_name_H-M_alt 'P 1'
_space_group_IT_number 1
_space_group_name_Hall 'P 1'
_cell_length_a 8.272
_cell_length_b 8.272
_cell_length_c 15.098
_cell_angle_alpha 100.52
_cell_angle_beta 100.52
_cell_angle_gamma 109.47
loop_
_atom_site_label
_atom_site_type_symbol
_atom_site_fract_x
_atom_site_fract_y
_atom_site_fract_z
Bi1 Bi 0.586 0.599 0.671
Bi2 Bi 0.235 0.235 0.000
Bi3 Bi 0.664 0.151 0.829
Bi4 Bi 0.401 0.414 0.329
Bi5 Bi 0.015 0.515 0.500
Bi6 Bi 0.165 0.678 0.829
Bi7 Bi 0.928 0.915 0.329
Bi8 Bi 0.085 0.072 0.671
Bi9 Bi 0.322 0.835 0.171
Bi10 Bi 0.765 0.765 0.000
Bi11 Bi 0.485 0.985 0.500
Bi12 Bi 0.849 0.336 0.171
Th1 Th 0.166 0.666 0.333
Th2 Th 0.084 0.084 0.167
Th3 Th 0.916 0.916 0.833
Th4 Th 0.334 0.834 0.667
Ac1 Ac 0.252 0.252 0.504
Ac2 Ac 0.748 0.748 0.496
Ac3 Ac 0.502 0.002 0.004
Ac4 Ac 0.668 0.168 0.337
Ac5 Ac 0.582 0.582 0.163
Ac6 Ac 0.832 0.332 0.663
Ac7 Ac 0.418 0.418 0.837
Ac8 Ac 0.998 0.498 0.996
```

## Properties
- calculated formation energy (eV per atom) = -0.861
- symmetry = Fddd, No. 70
- N(E_F) (states/eV per cell) = 7.606

2.
The following is a PBE calculation of a relaxed AcTh2Bi3 crystal, from Alexandria via LeMat-Bulk.

Structure (CIF):
```
data_AcTh2Bi3
_chemical_formula_sum 'Ac2 Th4 Bi6'
_space_group_name_H-M_alt 'P 1'
_space_group_IT_number 1
_space_group_name_Hall 'P 1'
_cell_length_a 6.620
_cell_length_b 8.120
_cell_length_c 9.343
_cell_angle_alpha 106.73
_cell_angle_beta 90.00
_cell_angle_gamma 114.05
loop_
_atom_site_label
_atom_site_type_symbol
_atom_site_fract_x
_atom_site_fract_y
_atom_site_fract_z
Bi1 Bi 0.500 0.000 0.250
Bi2 Bi 0.175 0.351 0.588
Bi3 Bi 0.824 0.649 0.912
Bi4 Bi 0.825 0.649 0.412
Bi5 Bi 0.500 0.000 0.750
Bi6 Bi 0.176 0.351 0.088
Th1 Th 0.663 0.326 0.082
Th2 Th 0.337 0.674 0.418
Th3 Th 0.663 0.326 0.582
Th4 Th 0.337 0.674 0.918
Ac1 Ac 0.000 0.000 0.250
Ac2 Ac 0.000 0.000 0.750
```

## Properties
- calculated formation energy (eV per atom) = -0.694
- symmetry = Immm, No. 71
- N(E_F) (states/eV per cell) = 7.360

3.
The following is a PBE calculation of a relaxed Ac2ThBi crystal, from Alexandria via LeMat-Bulk.

Structure (CIF):
```
data_Ac2ThBi
_chemical_formula_sum 'Ac2 Th1 Bi1'
_space_group_name_H-M_alt 'P 1'
_space_group_IT_number 1
_space_group_name_Hall 'P 1'
_cell_length_a 5.168
_cell_length_b 5.259
_cell_length_c 5.259
_cell_angle_alpha 90.00
_cell_angle_beta 90.00
_cell_angle_gamma 90.00
loop_
_atom_site_label
_atom_site_type_symbol
_atom_site_fract_x
_atom_site_fract_y
_atom_site_fract_z
Th1 Th 0.500 0.500 0.500
Bi1 Bi 0.500 0.000 0.000
Ac1 Ac 0.000 0.000 0.500
Ac2 Ac 0.000 0.500 0.000
```

## Properties
- ΔE to the lowest computed polymorph (eV/atom) = 0.000
- calculated formation energy (eV per atom) = -0.244
- symmetry = P4/mmm, No. 123
- N(E_F) (states/eV per cell) = 4.255

4.
The following is a PBE calculation of a relaxed Ac2ThBi crystal, from Alexandria via LeMat-Bulk.

Structure (CIF):
```
data_Ac2ThBi
_chemical_formula_sum 'Ac2 Th1 Bi1'
_space_group_name_H-M_alt 'P 1'
_space_group_IT_number 1
_space_group_name_Hall 'P 1'
_cell_length_a 3.660
_cell_length_b 3.660
_cell_length_c 13.288
_cell_angle_alpha 82.08
_cell_angle_beta 82.08
_cell_angle_gamma 60.00
loop_
_atom_site_label
_atom_site_type_symbol
_atom_site_fract_x
_atom_site_fract_y
_atom_site_fract_z
Th1 Th 0.000 0.000 0.000
Ac1 Ac 0.908 0.908 0.276
Ac2 Ac 0.092 0.092 0.724
Bi1 Bi 0.500 0.500 0.500
```

## Properties
- ΔE to the lowest computed polymorph (eV/atom) = 0.373
- calculated formation energy (eV per atom) = 0.129
- symmetry = R-3m, No. 166
- N(E_F) (states/eV per cell) = 4.589

Question: The highest N(E_F) belongs to which entry?
Answer: Ac2ThBi3